[1]
## CuAgSb (GGA-PBEsol)

Data for crystalline CuAgSb at its relaxed geometry.

```
CuAgSb
1.0
-3.569 0.535 2.363
-0.071 -1.278 4.119
-0.072 2.929 3.166
Sb Ag Cu
1 1 1
direct
0.000 0.000 0.000
0.500 0.500 0.500
0.250 0.250 0.250
```

Summary:
For the density, the calculation gives 8.6 g cm⁻³. The calculation puts the energy relative to the lowest polymorph listed for this composition at 0 meV per atom. Its space group is F-43m. The raw formation energy comes out at 0.033 eV/atom.

[2]
## CuAg2Sb (GGA-PBEsol)

Data for crystalline CuAg2Sb at its relaxed geometry.

```
CuAg2Sb
1.0
4.637 0.000 0.000
2.318 4.016 0.000
2.318 1.339 3.786
Ag Cu Sb
2 1 1
direct
0.250 0.250 0.250
0.750 0.750 0.750
0.000 0.000 0.000
0.500 0.500 0.500
```

Summary:
For the density, the calculation gives 9.4 g cm⁻³. The calculation puts the energy relative to the lowest polymorph listed for this composition at 128 meV per atom. Its space group is Fm-3m. The raw formation energy comes out at 0.212 eV/atom.

[3]
## CuAg2Sb (GGA-PBEsol)

Data for crystalline CuAg2Sb at its relaxed geometry.

```
CuAg2Sb
1.0
3.035 -0.033 0.000
-0.101 4.803 0.000
-1.467 -2.385 4.869
Ag Cu Sb
2 1 1
direct
0.500 0.500 0.500
0.000 0.000 0.500
0.000 0.500 0.000
0.500 0.000 0.000
```

Summary:
For the density, the calculation gives 9.4 g cm⁻³. The calculation puts the energy relative to the lowest polymorph listed for this composition at 109 meV per atom. Its space group is C2/m. The raw formation energy comes out at 0.193 eV/atom.

[4]
## ScCuAg (GGA-PBEsol)

Data for crystalline ScCuAg at its relaxed geometry.

```
ScCuAg
1.0
-3.278 -1.993 -1.926
0.639 -3.747 -1.993
-1.592 -3.618 1.671
Ag Cu Sc
1 1 1
direct
0.500 0.500 0.500
0.750 0.750 0.750
0.000 0.000 0.000
```

Summary:
For the density, the calculation gives 6.4 g cm⁻³. The calculation puts the formation energy at 0.007 eV/atom. The calculation puts the energy relative to the lowest polymorph listed for this composition at 272 meV per atom. Its space group is F-43m.